## InB2MoO (PBE+U)

Data for a relaxed InB2MoO crystal.

The density of states at the Fermi level is 0.317 states/eV/atom. The total energy comes out at -4.1395 eV/atom. As for the density: 6.53 g/cm³. The calculation puts the spin magnetization at 0.000 μB/cell.

```
data_InB2MoO
_chemical_formula_sum 'In1 B2 Mo1 O1'
_cell_length_a 3.9099
_cell_length_b 3.9099
_cell_length_c 4.1299
_cell_angle_alpha 90.00
_cell_angle_beta 90.00
_cell_angle_gamma 90.00
_symmetry_space_group_name_H-M 'P 4/m m m'
_symmetry_Int_Tables_number 123
_symmetry_space_group_name_Hall '-P 4 2'
loop_
_atom_site_label
_atom_site_fract_x
_atom_site_fract_y
_atom_site_fract_z
_atom_site_occupancy
In1 0.0000 0.0000 0.0000 1
B1 0.0000 0.5000 0.5000 1
Mo1 0.5000 0.5000 0.0000 1
O1 0.0000 0.0000 0.5000 1
```